Record 1
Entry from Alexandria: a geometry-optimized RbGeH2 structure (PBE).

The structure in POSCAR format:
```
RbGeH2
1.0
-3.656 -3.105 2.479
2.672 -6.459 -4.187
2.444 -5.491 2.559
Rb H Ge
2 4 2
Direct
0.714 0.699 0.511
0.191 0.186 0.552
0.163 0.128 0.059
0.634 0.279 0.679
0.189 0.757 0.004
0.282 0.605 0.385
0.469 0.100 0.034
0.470 0.784 0.030
```

symmetry = No. 1
calculated total energy = -0.237 Ry/atom
D(E_F) = 0.00 states/eV/f.u.
polymorph energy (0 for the lowest one) = 0.0 meV per atom

---

Record 2
Entry from Alexandria: a geometry-optimized Tb3MgRu structure (PBE).

The structure in POSCAR format:
```
Tb3MgRu
1.0
5.077 -0.019 0.000
-2.531 5.876 1.213
-0.006 -1.023 8.461
Mg Tb Ru
2 6 2
Direct
0.423 0.844 0.630
0.577 0.156 0.370
0.153 0.307 0.570
0.102 0.205 0.141
0.847 0.693 0.430
0.372 0.744 0.146
0.898 0.795 0.859
0.628 0.256 0.854
0.746 0.491 0.138
0.254 0.509 0.862
```

symmetry = No. 2
calculated total energy = -0.376 Ry/atom
D(E_F) = 4.34 states/eV/f.u.
polymorph energy (0 for the lowest one) = 70.6 meV per atom

---

Record 3
Entry from Alexandria: a geometry-optimized Cu3Pt structure (PBE).

The structure in POSCAR format:
```
Cu3Pt
1.0
8.528 -0.015 -0.009
8.108 2.643 -0.009
8.108 1.280 2.312
Pt Cu
1 3
Direct
0.750 0.750 0.750
0.503 0.503 0.503
0.997 0.997 0.997
0.250 0.250 0.250
```

symmetry = No. 166
calculated total energy = -0.342 Ry/atom
D(E_F) = 1.71 states/eV/f.u.

---

Record 4
Entry from Alexandria: a geometry-optimized Os2RuPb structure (PBE).

The structure in POSCAR format:
```
Os2RuPb
1.0
2.923 0.000 0.000
0.000 2.923 0.000
0.000 0.000 7.736
Pb Os Ru
1 2 1
Direct
0.500 0.500 0.250
0.000 0.000 0.527
0.000 0.000 0.973
0.500 0.500 0.750
```

symmetry = No. 123
calculated total energy = -0.593 Ry/atom
D(E_F) = 3.98 states/eV/f.u.

---

Record 5
Entry from Alexandria: a geometry-optimized KHgSb2Au structure (PBE).

The structure in POSCAR format:
```
KHgSb2Au
1.0
6.216 0.000 0.000
0.000 5.779 0.000
0.000 0.000 6.216
Sb K Hg Au
2 1 1 1
Direct
0.500 0.000 0.000
0.000 0.000 0.500
0.000 0.000 0.000
0.500 0.500 0.500
0.000 0.500 0.000
```

symmetry = No. 123
calculated total energy = -0.105 Ry/atom
energy relative to the elements, uncorrected = 1.154 eV/atom
D(E_F) = 4.20 states/eV/f.u.

---

Record 6
Entry from Alexandria: a geometry-optimized Cu5SbPd6 structure (PBE).

The structure in POSCAR format:
```
Cu5SbPd6
1.0
-6.709 -2.817 -3.282
0.067 -2.035 -3.592
0.783 -6.319 1.222
Sb Pd Cu
1 6 5
Direct
0.000 0.000 0.000
0.743 0.089 0.334
0.745 0.755 0.000
0.257 0.911 0.666
0.255 0.245 0.000
0.743 0.424 0.666
0.257 0.576 0.334
0.000 0.676 0.648
0.500 0.500 0.000
0.500 0.833 0.334
0.500 0.167 0.666
0.000 0.324 0.352
```

symmetry = No. 65
calculated total energy = -0.358 Ry/atom
energy relative to the elements, uncorrected = -0.226 eV/atom
D(E_F) = 4.24 states/eV/f.u.

---

Record 7
Entry from Alexandria: a geometry-optimized Na2Cd3Pd3 structure (PBE).

The structure in POSCAR format:
```
Na2Cd3Pd3
1.0
-0.555 2.839 -0.739
-7.582 -1.710 -0.880
2.699 2.339 6.959
Cd Na Pd
3 2 3
Direct
0.000 0.000 0.755
0.000 0.245 0.245
0.000 0.755 0.000
0.000 0.333 0.667
0.000 0.667 0.333
0.500 0.000 0.345
0.500 0.345 0.000
0.500 0.655 0.655
```

symmetry = No. 189
calculated total energy = -0.207 Ry/atom
D(E_F) = 3.84 states/eV/f.u.

---

Record 8
Entry from Alexandria: a geometry-optimized NbAlAs structure (PBE).

The structure in POSCAR format:
```
NbAlAs
1.0
-1.046 1.711 -2.811
1.727 -7.642 -5.294
-5.861 -1.994 0.966
Nb As Al
4 4 4
Direct
0.000 0.065 0.340
0.000 0.935 0.840
0.500 0.565 0.340
0.500 0.435 0.840
0.500 0.143 0.642
0.000 0.357 0.142
0.000 0.643 0.642
0.500 0.857 0.142
0.500 0.154 0.035
0.000 0.346 0.535
0.500 0.846 0.535
0.000 0.654 0.035
```

symmetry = No. 36
calculated total energy = -0.477 Ry/atom
D(E_F) = 1.61 states/eV/f.u.

---

Record 9
Entry from Alexandria: a geometry-optimized Zn2FeTc structure (PBE).

The structure in POSCAR format:
```
Zn2FeTc
1.0
8.949 0.015 0.009
8.541 2.669 0.009
8.541 1.311 2.325
Tc Zn Fe
1 2 1
Direct
0.243 0.243 0.243
0.757 0.757 0.757
0.997 0.997 0.997
0.503 0.503 0.503
```

symmetry = No. 160
calculated total energy = -0.387 Ry/atom
D(E_F) = 3.48 states/eV/f.u.
polymorph energy (0 for the lowest one) = 74.7 meV per atom

---

Record 10
Entry from Alexandria: a geometry-optimized Fe2AsH2 structure (PBE).

The structure in POSCAR format:
```
Fe2AsH2
1.0
-1.906 -1.791 1.355
2.209 -1.176 1.553
-0.534 1.955 5.033
Fe H As
2 2 1
Direct
0.654 0.654 0.692
0.346 0.346 0.308
0.750 0.250 0.500
0.250 0.750 0.500
0.000 0.000 0.000
```

symmetry = No. 139
calculated total energy = -0.410 Ry/atom
D(E_F) = 2.87 states/eV/f.u.

---

Record 11
Entry from Alexandria: a geometry-optimized Ta3BeAu structure (PBE).

The structure in POSCAR format:
```
Ta3BeAu
1.0
-2.554 -2.719 2.326
3.526 -2.402 1.063
0.614 2.483 3.576
Au Ta Be
1 3 1
Direct
0.500 0.500 0.500
0.000 0.500 0.000
0.000 0.000 0.500
0.500 0.000 0.000
0.000 0.000 0.000
```

symmetry = No. 221
calculated total energy = -0.593 Ry/atom
D(E_F) = 7.70 states/eV/f.u.
polymorph energy (0 for the lowest one) = 0.0 meV per atom

---

Record 12
Entry from Alexandria: a geometry-optimized TlRh2Se structure (PBE).

The structure in POSCAR format:
```
TlRh2Se
1.0
-0.377 -5.348 2.939
3.526 -2.310 4.428
-3.378 4.670 -2.038
Rh Tl Se
2 1 1
Direct
0.695 0.195 0.500
0.982 0.982 0.000
0.289 0.789 0.500
0.533 0.533 0.000
```

symmetry = No. 44
calculated total energy = -0.376 Ry/atom
energy relative to the elements, uncorrected = 0.023 eV/atom
D(E_F) = 3.07 states/eV/f.u.

---

calculated total energy of number 7 (Na2Cd3Pd3)?
-0.207 Ry/atom

---

D(E_F) of number 7 (Na2Cd3Pd3)?
3.84 states/eV/f.u.

---

Look up the calculated total energy of the third one.
-0.342 Ry/atom